(1)
## Pm6Te3CSe2 (PBE)

Data for crystalline Pm6Te3CSe2 at its relaxed geometry.

a = 7.3190 Å, b = 12.6309 Å, c = 7.5433 Å
α = 90.00°, β = 108.70°, γ = 90.00°
With the nearest neighbours (Å) after each atom.
Space group C2/m (No. 12)
Inequivalent atoms, fractional coordinates:
1 Pm 0.2176 0.1499 0.2047 x8  1 C 2.63
2 Pm 0.2275 0.0000 0.7873 x4  1 C 2.66, 2 Se 2.97
3 Te 0.0000 0.1760 0.5000 x4  6 Pm 3.14-3.33
4 Te 0.0000 0.5000 0.5000 x2  6 Pm 3.14-3.38
5 C 0.0000 0.0000 0.0000 x2  6 Pm 2.63-2.66
6 Se 0.0000 0.3350 0.0000 x4  6 Pm 2.96-2.97

Summary:
- DFT total energy: -70.9 eV per formula unit
- N(E_F): 5.612 states/eV/f.u.
- V: 330.3 Å³/f.u.
- Energy relative to the elements, uncorrected: -1.40 eV per atom
- Total moment: 0.00 μB/f.u.

(2)
## PmTm2Ag3S6 (PBE)

Data for crystalline PmTm2Ag3S6 at its relaxed geometry.

a = 15.5061 Å, b = 4.0449 Å, c = 9.5479 Å
α = 90.00°, β = 106.34°, γ = 90.00°
With the nearest neighbours (Å) after each atom.
Space group C2/m (No. 12)
Inequivalent atoms, fractional coordinates:
1 Pm 0.0000 0.0000 0.0000 x2  6 S 2.82-2.85
2 Tm 0.1669 0.5000 0.3370 x4  6 S 2.68-2.78
3 Ag 0.0000 0.0000 0.5000 x2  2 S 2.40
4 Ag 0.1732 0.5000 0.9395 x4  4 S 2.51-2.81
5 S 0.0096 0.5000 0.7995 x4  1 Ag 2.51, 1 Tm 2.68
6 S 0.1577 0.0000 0.5176 x4  1 Ag 2.40, 3 Tm 2.68-2.69
7 S 0.1870 0.0000 0.1489 x4  3 Ag 2.54-2.81, 2 Tm 2.78

Summary:
- DFT total energy: -62.5 eV per formula unit
- N(E_F): 0.000 states/eV/f.u.
- V: 287.3 Å³/f.u.
- Energy relative to the elements, uncorrected: -1.29 eV per atom
- Total moment: 0.00 μB/f.u.

(3)
## RbCuW (PBE)

Data for crystalline RbCuW at its relaxed geometry.

a = 3.4341 Å, b = 4.0869 Å, c = 12.7638 Å
α = 90.09°, β = 97.13°, γ = 90.00°
With the nearest neighbours (Å) after each atom.
Space group P1 (No. 1)
Inequivalent atoms, fractional coordinates:
1 Rb 0.0000 0.0000 0.0000 x1  2 Rb 3.43, 2 W 3.62-3.64, 2 Cu 3.65
2 Rb 0.3233 0.5019 0.6447 x1  2 Rb 3.43, 2 Cu 3.51-3.57, 2 W 3.79
3 Cu 0.1172 0.5002 0.2387 x1  2 Cu 2.67, 6 W 2.67-2.83
4 Cu 0.6921 0.5010 0.4002 x1  6 W 2.67-2.77, 2 Cu 2.67
5 W 0.1875 0.0009 0.3928 x1  2 W 2.47, 4 Cu 2.67
6 W 0.6228 0.0002 0.2526 x1  2 W 2.47, 4 Cu 2.67-2.68

Summary:
- DFT total energy: -15.9 eV per formula unit
- DFT formation energy: 0.707 eV/atom
- N(E_F): 2.557 states/eV/f.u.
- V: 88.9 Å³/f.u.
- Total moment: 0.00 μB/f.u.

(4)
## Pm2SbPN5 (PBE)

Data for crystalline Pm2SbPN5 at its relaxed geometry.

a = 3.2457 Å, b = 14.7203 Å, c = 10.3528 Å
α = 90.00°, β = 90.00°, γ = 90.00°
With the nearest neighbours (Å) after each atom.
Space group Cmc2_1 (No. 36)
Inequivalent atoms, fractional coordinates:
1 Pm 0.0000 0.1100 0.0000 x4  6 N 2.49-2.61
2 Pm 0.0000 0.1277 0.6550 x4  7 N 2.48-2.74
3 Sb 0.0000 0.2058 0.3669 x4  3 N 2.04-2.20
4 P 0.0000 0.4554 0.7478 x4  2 N 1.63-1.67
5 N 0.0000 0.0161 0.3233 x4  2 P 1.85
6 N 0.0000 0.2853 0.0099 x4  2 Sb 2.20
7 N 0.0000 0.3419 0.3309 x4  1 Sb 2.04
8 N 0.0000 0.3438 0.7204 x4  1 P 1.67
9 N 0.0000 0.4956 0.1068 x4  1 P 1.63

Summary:
- DFT total energy: -65.5 eV per formula unit
- N(E_F): 2.591 states/eV/f.u.
- V: 123.7 Å³/f.u.
- Energy relative to the elements, uncorrected: -0.54 eV per atom
- Total moment: 0.00 μB/f.u.

> The lowest N(E_F) belongs to which entry?

PmTm2Ag3S6

What did the third record say?
## RbCuW (PBE)

Data for crystalline RbCuW at its relaxed geometry.

a = 3.4341 Å, b = 4.0869 Å, c = 12.7638 Å
α = 90.09°, β = 97.13°, γ = 90.00°
With the nearest neighbours (Å) after each atom.
Space group P1 (No. 1)
Inequivalent atoms, fractional coordinates:
1 Rb 0.0000 0.0000 0.0000 x1  2 Rb 3.43, 2 W 3.62-3.64, 2 Cu 3.65
2 Rb 0.3233 0.5019 0.6447 x1  2 Rb 3.43, 2 Cu 3.51-3.57, 2 W 3.79
3 Cu 0.1172 0.5002 0.2387 x1  2 Cu 2.67, 6 W 2.67-2.83
4 Cu 0.6921 0.5010 0.4002 x1  6 W 2.67-2.77, 2 Cu 2.67
5 W 0.1875 0.0009 0.3928 x1  2 W 2.47, 4 Cu 2.67
6 W 0.6228 0.0002 0.2526 x1  2 W 2.47, 4 Cu 2.67-2.68

Summary:
- DFT total energy: -15.9 eV per formula unit
- DFT formation energy: 0.707 eV/atom
- N(E_F): 2.557 states/eV/f.u.
- V: 88.9 Å³/f.u.
- Total moment: 0.00 μB/f.u.

> Which value of N(E_F) does entry 3 give?

2.557 states/eV/f.u.

> Which of these has the lowest N(E_F)?

PmTm2Ag3S6